DFT (GGA-PBE) results for an optimized crystal structure of Nd2YHo3.

Calculated values
* formation energy: 0.0934 eV/atom

Cell: 17.153 5.600 10.023 Å, 90.00 125.00 90.00°
Space group C2/m (No. 12)
Inequivalent atoms, fractional coordinates:
Nd: 0.008 0.000 0.357 [4 per cell]
Nd: 0.230 0.500 0.372 [4 per cell]
Y: 0.133 0.500 0.636 [4 per cell]
Ho: 0.048 0.500 0.893 [4 per cell]
Ho: 0.113 0.000 0.156 [4 per cell]
Ho: 0.209 0.000 0.927 [4 per cell]

DFT (GGA-PBE) results for an optimized crystal structure of Cu5Re4.

Calculated values
* formation energy: 0.6262 eV/atom

Cell: 7.4585 7.4585 5.1412 Å, 90.00 90.00 120.00°
Space group P6_3/mcm (No. 193)
Inequivalent atoms, fractional coordinates:
Cu: 0.0000 0.3591 0.2500 [6 per cell]
Cu: 0.3333 0.6667 0.0000 [4 per cell]
Re: 0.0000 0.0000 0.0000 [2 per cell]
Re: 0.0000 0.3102 0.7500 [6 per cell]

DFT (GGA-PBE) results for an optimized crystal structure of LaFe3Sb.

Calculated values
* formation energy without anion corrections: 1.5000 eV/atom

Cell: 4.727 4.727 4.727 Å, 90.00 90.00 90.00°
Space group Pm-3m (No. 221)
Inequivalent atoms, fractional coordinates:
La: 0.000 0.000 0.000 [1 per cell]
Fe: 0.000 0.000 0.500 [3 per cell]
Sb: 0.500 0.500 0.500 [1 per cell]

DFT (GGA-PBE) results for an optimized crystal structure of KPRhAu.

Calculated values
* formation energy: -0.5510 eV/atom

Cell: 3.924 3.924 12.066 Å, 90.00 90.00 90.00°
Space group P4/nmm (No. 129, origin choice 2)
Inequivalent atoms, fractional coordinates:
K: 0.250 0.250 0.232 [2 per cell]
P: 0.250 0.250 0.607 [2 per cell]
Rh: 0.250 0.750 0.500 [2 per cell]
Au: 0.250 0.750 0.000 [2 per cell]

DFT (GGA-PBE) results for an optimized crystal structure of Ga2NiPt5.

Calculated values
* formation energy: -0.4431 eV/atom

Cell: 5.494 10.943 3.937 Å, 90.00 90.00 90.00°
Space group Pbam (No. 55)
Inequivalent atoms, fractional coordinates:
Ga: 0.237 0.125 0.000 [4 per cell]
Ni: 0.000 0.500 0.500 [2 per cell]
Pt: 0.000 0.000 0.500 [2 per cell]
Pt: 0.033 0.741 0.500 [4 per cell]
Pt: 0.230 0.383 0.000 [4 per cell]

DFT (GGA-PBE) results for an optimized crystal structure of LaHoSb.

Calculated values
* formation energy without anion corrections: -0.8584 eV/atom

Cell: 4.590 4.590 8.851 Å, 90.00 90.00 90.00°
Space group P4/nmm (No. 129, origin choice 2)
Inequivalent atoms, fractional coordinates:
La: 0.250 0.250 0.148 [2 per cell]
Ho: 0.250 0.750 0.500 [2 per cell]
Sb: 0.250 0.250 0.766 [2 per cell]